# Tm6BiSb3As2 PBE-GGA optimized geometry
data_Tm6BiSb3As2
_cell_length_a 9.523
_cell_length_b 9.523
_cell_length_c 8.554
_cell_angle_alpha 102.85
_cell_angle_beta 102.85
_cell_angle_gamma 25.77
_space_group_name_H-M_alt 'P 1'
_space_group_IT_number 1
loop_
_space_group_symop_operation_xyz
'x,y,z'
loop_
_atom_site_label
_atom_site_type_symbol
_atom_site_fract_x
_atom_site_fract_y
_atom_site_fract_z
_atom_site_occupancy
Tm1 Tm 0.008 0.008 0.259 1
Tm2 Tm 0.328 0.328 0.426 1
Tm3 Tm 0.328 0.328 0.901 1
Tm4 Tm 0.672 0.672 0.099 1
Tm5 Tm 0.672 0.672 0.574 1
Tm6 Tm 0.992 0.992 0.741 1
Bi1 Bi 0.500 0.500 0.000 1
Sb1 Sb 0.163 0.163 0.832 1
Sb2 Sb 0.500 0.500 0.500 1
Sb3 Sb 0.837 0.837 0.168 1
As1 As 0.169 0.169 0.336 1
As2 As 0.831 0.831 0.664 1
# Total DFT energy (no corrections), eV for the cell shown: -66.05
# Uncorrected formation energy, meV/atom: -1140
# SG: C2/m (12)
# Calculated density, g/cm³: 8.79
# N(E_F), states/eV/f.u.: 1.8
# Magnetization, μB per atom: 0.00


# Y4Bi2SbAs PBE-GGA optimized geometry
data_Y4Bi2SbAs
_cell_length_a 7.563
_cell_length_b 4.348
_cell_length_c 7.599
_cell_angle_alpha 90.00
_cell_angle_beta 109.19
_cell_angle_gamma 90.00
_space_group_name_H-M_alt 'P 1'
_space_group_IT_number 1
loop_
_space_group_symop_operation_xyz
'x,y,z'
loop_
_atom_site_label
_atom_site_type_symbol
_atom_site_fract_x
_atom_site_fract_y
_atom_site_fract_z
_atom_site_occupancy
Y1 Y 0.236 0.000 0.232 1
Y2 Y 0.246 0.500 0.762 1
Y3 Y 0.754 0.500 0.238 1
Y4 Y 0.764 0.000 0.768 1
Bi1 Bi 0.000 0.000 0.500 1
Bi2 Bi 0.500 0.500 0.500 1
Sb1 Sb 0.500 0.000 0.000 1
As1 As 0.000 0.500 0.000 1
# Total DFT energy (no corrections), eV for the cell shown: -51.23
# Uncorrected formation energy, meV/atom: -1105
# SG: P2/m (10)
# Calculated density, g/cm³: 6.83
# N(E_F), states/eV/f.u.: 1.2
# Magnetization, μB per atom: 0.00


# Y4BiSb2As PBE-GGA optimized geometry
data_Y4BiSb2As
_cell_length_a 7.525
_cell_length_b 4.338
_cell_length_c 7.551
_cell_angle_alpha 90.00
_cell_angle_beta 109.33
_cell_angle_gamma 90.00
_space_group_name_H-M_alt 'P 1'
_space_group_IT_number 1
loop_
_space_group_symop_operation_xyz
'x,y,z'
loop_
_atom_site_label
_atom_site_type_symbol
_atom_site_fract_x
_atom_site_fract_y
_atom_site_fract_z
_atom_site_occupancy
Y1 Y 0.240 0.000 0.236 1
Y2 Y 0.248 0.500 0.760 1
Y3 Y 0.752 0.500 0.240 1
Y4 Y 0.760 0.000 0.764 1
Bi1 Bi 0.000 0.000 0.500 1
Sb1 Sb 0.500 0.000 0.000 1
Sb2 Sb 0.500 0.500 0.500 1
As1 As 0.000 0.500 0.000 1
# Total DFT energy (no corrections), eV for the cell shown: -51.96
# Uncorrected formation energy, meV/atom: -1166
# SG: P2/m (10)
# Calculated density, g/cm³: 6.30
# N(E_F), states/eV/f.u.: 1.1
# Magnetization, μB per atom: 0.00